Entry P
This record from OQMD via LeMat-Bulk describes a relaxed NaZnAsO crystal. The functional is PBE-GGA.

Geometry as CIF:
```
data_NaZnAsO
_cell_length_a 4.237
_cell_length_b 4.237
_cell_length_c 6.648
_cell_angle_alpha 90.00
_cell_angle_beta 90.00
_cell_angle_gamma 90.00
_space_group_name_H-M_alt 'P 4/n m m'
_space_group_IT_number 129
loop_
_space_group_symop_operation_xyz
'x,y,z'
'-x,-y,-z'
'-y+1/2,x,z'
'y+1/2,-x,-z'
'-x+1/2,-y+1/2,z'
'x+1/2,y+1/2,-z'
'y,-x+1/2,z'
'-y,x+1/2,-z'
'x+1/2,-y,-z'
'-x+1/2,y,z'
'-y,-x,-z'
'y,x,z'
'-x,y+1/2,-z'
'x,-y+1/2,z'
'y+1/2,x+1/2,-z'
'-y+1/2,-x+1/2,z'
loop_
_atom_site_label
_atom_site_fract_x
_atom_site_fract_y
_atom_site_fract_z
_atom_site_occupancy
Na1 0.250 0.250 0.137 1
Zn1 0.250 0.750 0.500 1
As1 0.250 0.250 0.727 1
O1 0.250 0.750 0.000 1
```

***

Entry Q
This record from OQMD via LeMat-Bulk describes a relaxed NaZnAsO crystal. The functional is PBE-GGA.

Geometry as CIF:
```
data_NaZnAsO
_cell_length_a 3.321
_cell_length_b 7.075
_cell_length_c 5.567
_cell_angle_alpha 90.00
_cell_angle_beta 90.00
_cell_angle_gamma 90.00
_space_group_name_H-M_alt 'P m c 21'
_space_group_IT_number 26
loop_
_space_group_symop_operation_xyz
'x,y,z'
'-x,-y,z+1/2'
'-x,y,z'
'x,-y,z+1/2'
loop_
_atom_site_label
_atom_site_fract_x
_atom_site_fract_y
_atom_site_fract_z
_atom_site_occupancy
Na1 0.000 0.138 0.000 1
Zn1 0.500 0.184 0.473 1
As1 0.000 0.453 0.437 1
O1 0.500 0.023 0.747 1
```

***

Entry R
This record from OQMD via LeMat-Bulk describes a relaxed NaZnAsO crystal. The functional is PBE-GGA.

Geometry as CIF:
```
data_NaZnAsO
_cell_length_a 3.913
_cell_length_b 3.913
_cell_length_c 9.754
_cell_angle_alpha 90.00
_cell_angle_beta 90.00
_cell_angle_gamma 90.00
_space_group_name_H-M_alt 'P 4/n m m'
_space_group_IT_number 129
loop_
_space_group_symop_operation_xyz
'x,y,z'
'-x,-y,-z'
'-y+1/2,x,z'
'y+1/2,-x,-z'
'-x+1/2,-y+1/2,z'
'x+1/2,y+1/2,-z'
'y,-x+1/2,z'
'-y,x+1/2,-z'
'x+1/2,-y,-z'
'-x+1/2,y,z'
'-y,-x,-z'
'y,x,z'
'-x,y+1/2,-z'
'x,-y+1/2,z'
'y+1/2,x+1/2,-z'
'-y+1/2,-x+1/2,z'
loop_
_atom_site_label
_atom_site_fract_x
_atom_site_fract_y
_atom_site_fract_z
_atom_site_occupancy
Na1 0.250 0.750 0.000 1
Zn1 0.250 0.250 0.446 1
As1 0.250 0.250 0.770 1
O1 0.250 0.750 0.500 1
```

***

Need the numbers? Relative energies in eV/atom: entry P 0.570; entry Q 0.000; entry R 0.632.

***

Entry P
This record from OQMD via LeMat-Bulk describes a relaxed NaZnAsO4 crystal. The functional is PBE-GGA.

Geometry as CIF:
```
data_NaZnAsO4
_cell_length_a 4.9935
_cell_length_b 4.9935
_cell_length_c 26.3150
_cell_angle_alpha 90.00
_cell_angle_beta 90.00
_cell_angle_gamma 120.00
_space_group_name_H-M_alt 'R -3'
_space_group_IT_number 148
_space_group_name_Hall '-R 3'
loop_
_atom_site_label
_atom_site_fract_x
_atom_site_fract_y
_atom_site_fract_z
_atom_site_occupancy
Na1 0.0000 0.0000 0.2136 1
Zn1 0.0000 0.0000 0.3378 1
As1 0.0000 0.0000 0.0687 1
O1 0.0000 0.0000 0.1322 1
O2 0.0019 0.3462 0.3807 1
```

***

Entry Q
This record from OQMD via LeMat-Bulk describes a relaxed NaZnAsO4 crystal. The functional is PBE-GGA.

Geometry as CIF:
```
data_NaZnAsO4
_cell_length_a 8.9745
_cell_length_b 8.9745
_cell_length_c 8.0038
_cell_angle_alpha 90.00
_cell_angle_beta 90.00
_cell_angle_gamma 120.00
_space_group_name_H-M_alt 'P 63'
_space_group_IT_number 173
loop_
_space_group_symop_operation_xyz
'x,y,z'
'x-y,x,z+1/2'
'-y,x-y,z'
'-x,-y,z+1/2'
'-x+y,-x,z'
'y,-x+y,z+1/2'
loop_
_atom_site_label
_atom_site_fract_x
_atom_site_fract_y
_atom_site_fract_z
_atom_site_occupancy
Na1 0.0000 0.0000 0.0000 1
Na2 0.3333 0.6667 0.0464 1
Na3 0.3333 0.6667 0.4619 1
Zn1 0.0149 0.6740 0.1724 1
As1 0.0290 0.6903 0.7736 1
O1 0.0950 0.2135 0.2704 1
O2 0.1030 0.5289 0.2570 1
O3 0.1429 0.7461 0.9567 1
O4 0.1832 0.7716 0.6191 1
```

***

Need the numbers? Relative energies in eV/atom: entry P 0.053; entry Q 0.000.

***

Entry P
This record from OQMD via LeMat-Bulk describes a relaxed Na4As2PdPt crystal. The functional is PBE-GGA.

Geometry as CIF:
```
data_Na4As2PdPt
_cell_length_a 6.903
_cell_length_b 8.842
_cell_length_c 5.561
_cell_angle_alpha 90.00
_cell_angle_beta 90.12
_cell_angle_gamma 90.00
_space_group_name_H-M_alt 'C 1 2/m 1'
_space_group_IT_number 12
loop_
_space_group_symop_operation_xyz
'x,y,z'
'-x,-y,-z'
'-x,y,-z'
'x,-y,z'
'x+1/2,y+1/2,z'
'-x+1/2,-y+1/2,-z'
'-x+1/2,y+1/2,-z'
'x+1/2,-y+1/2,z'
loop_
_atom_site_label
_atom_site_fract_x
_atom_site_fract_y
_atom_site_fract_z
_atom_site_occupancy
Na1 0.158 0.180 0.248 1
As1 0.208 0.000 0.756 1
Pd1 0.000 0.500 0.500 1
Pt1 0.000 0.500 0.000 1
```

***

Entry Q
This record from OQMD via LeMat-Bulk describes a relaxed Na4As2PdPt crystal. The functional is PBE-GGA.

Geometry as CIF:
```
data_Na4As2PdPt
_cell_length_a 4.646
_cell_length_b 4.646
_cell_length_c 6.565
_cell_angle_alpha 90.00
_cell_angle_beta 90.00
_cell_angle_gamma 90.00
_space_group_name_H-M_alt 'P -4 m 2'
_space_group_IT_number 115
loop_
_space_group_symop_operation_xyz
'x,y,z'
'y,-x,-z'
'-x,-y,z'
'-y,x,-z'
'-x,y,z'
'-y,-x,-z'
'x,-y,z'
'y,x,-z'
loop_
_atom_site_label
_atom_site_fract_x
_atom_site_fract_y
_atom_site_fract_z
_atom_site_occupancy
Na1 0.000 0.000 0.000 1
Na2 0.000 0.500 0.246 1
Na3 0.500 0.500 0.500 1
As1 0.000 0.500 0.743 1
Pd1 0.500 0.500 0.000 1
Pt1 0.000 0.000 0.500 1
```

***

Need the numbers? Relative energies in eV/atom: entry P 0.000; entry Q 0.200.